(1)
! Eu2Hf2O7 (SCAN, PBEsol geometry); values from VASP
&SYSTEM
  ibrav = 0, nat = 22, ntyp = 3
/
ATOMIC_SPECIES
Eu 151.96 Eu.upf
Hf 178.49 Hf.upf
O 16.00 O.upf
ATOMIC_POSITIONS crystal
Eu 0.0000 0.0000 0.0000
Eu 0.0000 0.0000 0.5000
Eu 0.0000 0.5000 0.0000
Eu 0.5000 0.0000 0.0000
Hf 0.0000 0.5000 0.5000
Hf 0.5000 0.0000 0.5000
Hf 0.5000 0.5000 0.0000
Hf 0.5000 0.5000 0.5000
O 0.1250 0.1250 0.1250
O 0.1656 0.1656 0.5844
O 0.1656 0.5844 0.1656
O 0.1656 0.5844 0.5844
O 0.4156 0.4156 0.8344
O 0.4156 0.8344 0.4156
O 0.4156 0.8344 0.8344
O 0.5844 0.1656 0.1656
O 0.5844 0.1656 0.5844
O 0.5844 0.5844 0.1656
O 0.8344 0.4156 0.4156
O 0.8344 0.4156 0.8344
O 0.8344 0.8344 0.4156
O 0.8750 0.8750 0.8750
CELL_PARAMETERS angstrom
0.0000 5.2595 5.2595
5.2595 0.0000 5.2595
5.2595 5.2595 0.0000
! Space group: Fd-3m (227)
! Uncorrected energy in eV per atom: -28.67
! ΔE_f (raw) in meV per atom: -3546


(2)
! EuHg2 (SCAN, PBEsol geometry); values from VASP
&SYSTEM
  ibrav = 0, nat = 3, ntyp = 2
/
ATOMIC_SPECIES
Eu 151.96 Eu.upf
Hg 200.59 Hg.upf
ATOMIC_POSITIONS crystal
Eu 0.0000 0.0000 0.0000
Hg 0.3333 0.6667 0.5000
Hg 0.6667 0.3333 0.5000
CELL_PARAMETERS angstrom
4.9685 0.0000 0.0000
-2.4843 4.3029 0.0000
0.0000 0.0000 3.4792
! Space group: P6/mmm (191)
! Uncorrected energy in eV per atom: -63.98


(3)
! EuInHg2 (SCAN, PBEsol geometry); values from VASP
&SYSTEM
  ibrav = 0, nat = 4, ntyp = 3
/
ATOMIC_SPECIES
Eu 151.96 Eu.upf
In 114.82 In.upf
Hg 200.59 Hg.upf
ATOMIC_POSITIONS crystal
Eu 0.0000 0.0000 0.0000
In 0.5000 0.5000 0.5000
Hg 0.2500 0.2500 0.2500
Hg 0.7500 0.7500 0.7500
CELL_PARAMETERS angstrom
0.0000 3.6280 3.6280
3.6280 0.0000 3.6280
3.6280 3.6280 0.0000
! Space group: Fm-3m (225)
! Uncorrected energy in eV per atom: -56.39


(4)
! LaEuHg2 (SCAN, PBEsol geometry); values from VASP
&SYSTEM
  ibrav = 0, nat = 4, ntyp = 3
/
ATOMIC_SPECIES
La 138.91 La.upf
Eu 151.96 Eu.upf
Hg 200.59 Hg.upf
ATOMIC_POSITIONS crystal
La 0.0000 0.0000 0.0000
Eu 0.5000 0.5000 0.5000
Hg 0.2500 0.2500 0.2500
Hg 0.7500 0.7500 0.7500
CELL_PARAMETERS angstrom
0.0000 3.8123 3.8123
3.8123 0.0000 3.8123
3.8123 3.8123 0.0000
! Space group: Fm-3m (225)
! Uncorrected energy in eV per atom: -59.03


(5)
! LiEu2Hg (SCAN, PBEsol geometry); values from VASP
&SYSTEM
  ibrav = 0, nat = 4, ntyp = 3
/
ATOMIC_SPECIES
Li 6.94 Li.upf
Eu 151.96 Eu.upf
Hg 200.59 Hg.upf
ATOMIC_POSITIONS crystal
Li 0.0000 0.0000 0.0000
Eu 0.2500 0.2500 0.2500
Eu 0.7500 0.7500 0.7500
Hg 0.5000 0.5000 0.5000
CELL_PARAMETERS angstrom
0.0000 3.8203 3.8203
3.8203 0.0000 3.8203
3.8203 3.8203 0.0000
! Space group: Fm-3m (225)
! Uncorrected energy in eV per atom: -44.86


(6)
! EuMgHg2 (SCAN, PBEsol geometry); values from VASP
&SYSTEM
  ibrav = 0, nat = 4, ntyp = 3
/
ATOMIC_SPECIES
Eu 151.96 Eu.upf
Mg 24.30 Mg.upf
Hg 200.59 Hg.upf
ATOMIC_POSITIONS crystal
Eu 0.0000 0.0000 0.0000
Mg 0.5000 0.5000 0.5000
Hg 0.2500 0.2500 0.2500
Hg 0.7500 0.7500 0.7500
CELL_PARAMETERS angstrom
0.0000 3.6178 3.6178
3.6178 0.0000 3.6178
3.6178 3.6178 0.0000
! Space group: Fm-3m (225)
! Uncorrected energy in eV per atom: -49.35


(7)
! NaEuHg2 (SCAN, PBEsol geometry); values from VASP
&SYSTEM
  ibrav = 0, nat = 4, ntyp = 3
/
ATOMIC_SPECIES
Na 22.99 Na.upf
Eu 151.96 Eu.upf
Hg 200.59 Hg.upf
ATOMIC_POSITIONS crystal
Na 0.0000 0.0000 0.0000
Eu 0.5000 0.5000 0.5000
Hg 0.2500 0.2500 0.2500
Hg 0.7500 0.7500 0.7500
CELL_PARAMETERS angstrom
0.0000 3.7029 3.7029
3.7029 0.0000 3.7029
3.7029 3.7029 0.0000
! Space group: Fm-3m (225)
! Uncorrected energy in eV per atom: -49.08


(8)
! EuHg2Pb (SCAN, PBEsol geometry); values from VASP
&SYSTEM
  ibrav = 0, nat = 4, ntyp = 3
/
ATOMIC_SPECIES
Eu 151.96 Eu.upf
Hg 200.59 Hg.upf
Pb 207.20 Pb.upf
ATOMIC_POSITIONS crystal
Eu 0.0000 0.0000 0.0000
Hg 0.2500 0.2500 0.2500
Hg 0.7500 0.7500 0.7500
Pb 0.5000 0.5000 0.5000
CELL_PARAMETERS angstrom
0.0000 3.7101 3.7101
3.7101 0.0000 3.7101
3.7101 3.7101 0.0000
! Space group: Fm-3m (225)
! Uncorrected energy in eV per atom: -66.97


(9)
! PmEuHg2 (SCAN, PBEsol geometry); values from VASP
&SYSTEM
  ibrav = 0, nat = 4, ntyp = 3
/
ATOMIC_SPECIES
Pm 145.00 Pm.upf
Eu 151.96 Eu.upf
Hg 200.59 Hg.upf
ATOMIC_POSITIONS crystal
Pm 0.0000 0.0000 0.0000
Eu 0.5000 0.5000 0.5000
Hg 0.2500 0.2500 0.2500
Hg 0.7500 0.7500 0.7500
CELL_PARAMETERS angstrom
0.0000 3.7592 3.7592
3.7592 0.0000 3.7592
3.7592 3.7592 0.0000
! Space group: Fm-3m (225)
! Uncorrected energy in eV per atom: -59.21


(10)
! PrEuHg2 (SCAN, PBEsol geometry); values from VASP
&SYSTEM
  ibrav = 0, nat = 4, ntyp = 3
/
ATOMIC_SPECIES
Pr 140.91 Pr.upf
Eu 151.96 Eu.upf
Hg 200.59 Hg.upf
ATOMIC_POSITIONS crystal
Pr 0.0000 0.0000 0.0000
Eu 0.5000 0.5000 0.5000
Hg 0.2500 0.2500 0.2500
Hg 0.7500 0.7500 0.7500
CELL_PARAMETERS angstrom
0.0000 3.7877 3.7877
3.7877 0.0000 3.7877
3.7877 3.7877 0.0000
! Space group: Fm-3m (225)
! Uncorrected energy in eV per atom: -59.05


(11)
! Eu2HgSb (SCAN, PBEsol geometry); values from VASP
&SYSTEM
  ibrav = 0, nat = 4, ntyp = 3
/
ATOMIC_SPECIES
Eu 151.96 Eu.upf
Hg 200.59 Hg.upf
Sb 121.76 Sb.upf
ATOMIC_POSITIONS crystal
Eu 0.2500 0.2500 0.2500
Eu 0.7500 0.7500 0.7500
Hg 0.0000 0.0000 0.0000
Sb 0.5000 0.5000 0.5000
CELL_PARAMETERS angstrom
0.0000 3.8201 3.8201
3.8201 0.0000 3.8201
3.8201 3.8201 0.0000
! Space group: Fm-3m (225)
! Uncorrected energy in eV per atom: -54.15
! ΔE_f (raw) in meV per atom: -933


(12)
! SmEuHg2 (SCAN, PBEsol geometry); values from VASP
&SYSTEM
  ibrav = 0, nat = 4, ntyp = 3
/
ATOMIC_SPECIES
Sm 150.36 Sm.upf
Eu 151.96 Eu.upf
Hg 200.59 Hg.upf
ATOMIC_POSITIONS crystal
Sm 0.0000 0.0000 0.0000
Eu 0.5000 0.5000 0.5000
Hg 0.2500 0.2500 0.2500
Hg 0.7500 0.7500 0.7500
CELL_PARAMETERS angstrom
0.0000 3.7490 3.7490
3.7490 0.0000 3.7490
3.7490 3.7490 0.0000
! Space group: Fm-3m (225)
! Uncorrected energy in eV per atom: -59.32